1.
Material: PmPr5Er3
Method: DFT, PBE-GGA
State: relaxed

Output
ΔE_f, meV per atom: 297.5
SG: I4/mcm, No. 140
Offset from the most stable computed form, eV per atom: 0.023
Total magnetic moment, μB per formula unit: 0.00

Lattice parameters (Å, degrees): 9.8192 9.8192 9.8192 123.47 123.47 84.09
Last column: nearest neighbours and their distance in Å.
Fractional positions:
Pm 0.2500 0.7500 0.5000  4 Pr 3.14
Pm 0.7500 0.2500 0.5000  4 Pr 3.14
Pr 0.0000 0.0000 0.0000  6 Er 3.65-3.77, 8 Pr 3.87
Pr 0.0679 0.5679 0.9010  1 Pm 3.14, 1 Er 3.15
Pr 0.1670 0.0679 0.5000  1 Pm 3.14, 1 Er 3.15
Pr 0.3330 0.8330 0.9010  1 Pm 3.14, 1 Er 3.15
Pr 0.4321 0.3330 0.5000  1 Pm 3.14, 1 Er 3.15
Pr 0.5000 0.5000 0.0000  6 Er 3.65-3.77, 8 Pr 3.87
Pr 0.5679 0.6670 0.5000  1 Pm 3.14, 1 Er 3.15
Pr 0.6670 0.1670 0.0990  1 Pm 3.14, 1 Er 3.15
Pr 0.8330 0.9321 0.5000  1 Pm 3.14, 1 Er 3.15
Pr 0.9321 0.4321 0.0990  1 Pm 3.14, 1 Er 3.15
Er 0.1104 0.3896 0.5000  1 Er 2.90, 2 Pr 3.15
Er 0.2500 0.2500 0.0000  10 Pr 3.65-3.76
Er 0.3896 0.8896 0.2791  1 Er 2.90, 2 Pr 3.15
Er 0.6104 0.1104 0.7209  1 Er 2.90, 2 Pr 3.15
Er 0.7500 0.7500 0.0000  10 Pr 3.65-3.76
Er 0.8896 0.6104 0.5000  1 Er 2.90, 2 Pr 3.15

2.
Material: La2Ga4HgPt3
Method: DFT, PBE-GGA
State: relaxed

Output
ΔE_f, meV per atom: -847.7
SG: P-4m2, No. 115
Total magnetic moment, μB per formula unit: 0.00

Lattice parameters (Å, degrees): 4.4173 4.4173 10.5844 90.00 90.00 90.00
Last column: nearest neighbours and their distance in Å.
Fractional positions:
La 0.0000 0.5000 0.2388  6 Pt 3.35-3.54, 8 Ga 3.36-3.38, 2 Hg 3.54
La 0.5000 0.0000 0.7612  6 Pt 3.35-3.54, 8 Ga 3.36-3.38, 2 Hg 3.54
Ga 0.0000 0.0000 0.0000  4 Pt 2.58
Ga 0.0000 0.5000 0.6400  3 Pt 2.48-2.66, 2 Hg 2.66
Ga 0.5000 0.0000 0.3600  3 Pt 2.48-2.66, 2 Hg 2.66
Ga 0.5000 0.5000 0.0000  4 Pt 2.58
Hg 0.0000 0.0000 0.5000  4 Ga 2.66
Pt 0.0000 0.5000 0.8744  5 Ga 2.48-2.58
Pt 0.5000 0.0000 0.1256  5 Ga 2.48-2.58
Pt 0.5000 0.5000 0.5000  4 Ga 2.66

3.
Material: CsTa3Be
Method: DFT, PBE-GGA
State: relaxed

Output
ΔE_f, meV per atom: 3477.3
SG: Pm-3m, No. 221
Offset from the most stable computed form, eV per atom: 1.800
Total magnetic moment, μB per formula unit: 0.00

Lattice parameters (Å, degrees): 4.9869 4.9869 4.9869 90.00 90.00 90.00
Last column: nearest neighbours and their distance in Å.
Fractional positions:
Cs 0.0000 0.0000 0.0000  6 Ta 2.49
Ta 0.0000 0.0000 0.5000  2 Cs 2.49
Ta 0.0000 0.5000 0.0000  2 Cs 2.49
Ta 0.5000 0.0000 0.0000  2 Cs 2.49
Be 0.5000 0.5000 0.5000  12 Ta 3.53

4.
Material: RbPaTe4Pb2
Method: DFT, PBE-GGA
State: relaxed

Output
Raw formation energy, meV/atom: -506
SG: I-4m2, No. 119
Total magnetic moment, μB per formula unit: 1.96

Lattice parameters (Å, degrees): 6.6002 6.6002 13.5040 90.00 90.00 90.00
Last column: nearest neighbours and their distance in Å.
Fractional positions:
Rb 0.0000 0.0000 0.0000  6 Te 3.31-3.53
Rb 0.5000 0.5000 0.5000  6 Te 3.31-3.53
Pa 0.0000 0.5000 0.7500  6 Te 3.08-3.30
Pa 0.5000 0.0000 0.2500  6 Te 3.08-3.30
Te 0.0000 0.0000 0.2615  3 Pb 3.22-3.30, 2 Pa 3.30, 1 Rb 3.53
Te 0.0000 0.0000 0.7385  3 Pb 3.22-3.30, 2 Pa 3.30, 1 Rb 3.53
Te 0.0000 0.5000 0.5221  1 Pa 3.08, 2 Pb 3.31, 2 Rb 3.31
Te 0.0000 0.5000 0.9779  1 Pa 3.08, 2 Pb 3.31, 2 Rb 3.31
Te 0.5000 0.0000 0.0221  1 Pa 3.08, 2 Pb 3.31, 2 Rb 3.31
Te 0.5000 0.0000 0.4779  1 Pa 3.08, 2 Pb 3.31, 2 Rb 3.31
Te 0.5000 0.5000 0.2385  3 Pb 3.22-3.30, 2 Pa 3.30, 1 Rb 3.53
Te 0.5000 0.5000 0.7615  3 Pb 3.22-3.30, 2 Pa 3.30, 1 Rb 3.53
Pb 0.0000 0.0000 0.5000  6 Te 3.22-3.31
Pb 0.0000 0.5000 0.2500  6 Te 3.30-3.67
Pb 0.5000 0.0000 0.7500  6 Te 3.30-3.67
Pb 0.5000 0.5000 0.0000  6 Te 3.22-3.31

5.
Material: NaCaVCl6
Method: DFT, PBE-GGA
State: relaxed

Output
Raw formation energy, meV/atom: -1728
SG: P-31c, No. 163
Total magnetic moment, μB per formula unit: 2.00

Lattice parameters (Å, degrees): 6.6837 6.6837 12.1985 90.00 90.00 120.00
Last column: nearest neighbours and their distance in Å.
Fractional positions:
Na 0.0000 0.0000 0.0000  6 Cl 2.91
Na 0.0000 0.0000 0.5000  6 Cl 2.91
Ca 0.3333 0.6667 0.2500  6 Cl 2.74
Ca 0.6667 0.3333 0.7500  6 Cl 2.74
V 0.3333 0.6667 0.7500  6 Cl 2.40
V 0.6667 0.3333 0.2500  6 Cl 2.40
Cl 0.0386 0.3761 0.6353  1 V 2.40
Cl 0.0386 0.6625 0.8647  1 V 2.40
Cl 0.3375 0.3761 0.8647  1 V 2.40
Cl 0.3375 0.9614 0.6353  1 V 2.40
Cl 0.3761 0.0386 0.1353  1 V 2.40
Cl 0.3761 0.3375 0.3647  1 V 2.40
Cl 0.6239 0.6625 0.6353  1 V 2.40
Cl 0.6239 0.9614 0.8647  1 V 2.40
Cl 0.6625 0.0386 0.3647  1 V 2.40
Cl 0.6625 0.6239 0.1353  1 V 2.40
Cl 0.9614 0.3375 0.1353  1 V 2.40
Cl 0.9614 0.6239 0.3647  1 V 2.40

6.
Material: NiSnIrPd
Method: DFT, PBE-GGA
State: relaxed

Output
ΔE_f, meV per atom: -142.0
SG: F-43m, No. 216
Total magnetic moment, μB per formula unit: 0.17

Lattice parameters (Å, degrees): 6.2590 6.2590 6.2590 90.00 90.00 90.00
Last column: nearest neighbours and their distance in Å.
Fractional positions:
Ni 0.0000 0.0000 0.0000  4 Ir 2.71, 4 Pd 2.71
Ni 0.0000 0.5000 0.5000  4 Ir 2.71, 4 Pd 2.71
Ni 0.5000 0.0000 0.5000  4 Ir 2.71, 4 Pd 2.71
Ni 0.5000 0.5000 0.0000  4 Ir 2.71, 4 Pd 2.71
Sn 0.0000 0.0000 0.5000  4 Ir 2.71, 4 Pd 2.71
Sn 0.0000 0.5000 0.0000  4 Ir 2.71, 4 Pd 2.71
Sn 0.5000 0.0000 0.0000  4 Ir 2.71, 4 Pd 2.71
Sn 0.5000 0.5000 0.5000  4 Ir 2.71, 4 Pd 2.71
Ir 0.2500 0.2500 0.2500  4 Sn 2.71, 4 Ni 2.71
Ir 0.2500 0.7500 0.7500  4 Sn 2.71, 4 Ni 2.71
Ir 0.7500 0.2500 0.7500  4 Sn 2.71, 4 Ni 2.71
Ir 0.7500 0.7500 0.2500  4 Sn 2.71, 4 Ni 2.71
Pd 0.2500 0.2500 0.7500  4 Sn 2.71, 4 Ni 2.71
Pd 0.2500 0.7500 0.2500  4 Ni 2.71, 4 Sn 2.71
Pd 0.7500 0.2500 0.2500  4 Ni 2.71, 4 Sn 2.71
Pd 0.7500 0.7500 0.7500  4 Ni 2.71, 4 Sn 2.71